The following is a DFT calculation (GGA-PBE) of LaSm2C after structural relaxation.

Output
* DFT formation energy: -31 meV per atom
* energy relative to the lowest polymorph listed for this composition: 51 meV per atom
* symmetry: R-3m

Cell lengths 3.605, 3.605, 30.506 Å; angles 90.00, 90.00, 120.00 degrees
Fractional positions:
La  0.000  0.000  0.000
La  0.333  0.667  0.667
La  0.667  0.333  0.333
Sm  0.000  0.000  0.121
Sm  0.000  0.000  0.879
Sm  0.333  0.667  0.546
Sm  0.333  0.667  0.787
Sm  0.667  0.333  0.213
Sm  0.667  0.333  0.454
C  0.000  0.000  0.500
C  0.333  0.667  0.167
C  0.667  0.333  0.833

The following is a DFT calculation (GGA-PBE) of Hf6TcS after structural relaxation.

Output
* formation energy from raw total energies: -387 meV/atom
* symmetry: P-1

Cell lengths 5.163, 5.864, 5.924 Å; angles 96.98, 90.21, 112.57 degrees
Fractional positions:
Hf  0.068  0.227  0.139
Hf  0.252  0.507  0.642
Hf  0.422  0.867  0.229
Hf  0.578  0.133  0.771
Hf  0.748  0.493  0.358
Hf  0.932  0.773  0.861
Tc  0.000  0.000  0.500
S  0.500  0.500  0.000

The following is a DFT calculation (GGA-PBE) of NaTaNi2 after structural relaxation.

Output
* DFT formation energy: 715 meV per atom
* energy relative to the lowest polymorph listed for this composition: 341 meV per atom
* symmetry: I-42d

Cell lengths 6.884, 6.884, 5.657 Å; angles 90.00, 90.00, 90.00 degrees
Fractional positions:
Na  0.000  0.000  0.000
Na  0.000  0.500  0.250
Na  0.500  0.000  0.750
Na  0.500  0.500  0.500
Ta  0.000  0.000  0.500
Ta  0.000  0.500  0.750
Ta  0.500  0.000  0.250
Ta  0.500  0.500  0.000
Ni  0.219  0.750  0.625
Ni  0.250  0.219  0.375
Ni  0.250  0.281  0.875
Ni  0.281  0.750  0.125
Ni  0.719  0.250  0.125
Ni  0.750  0.719  0.875
Ni  0.750  0.781  0.375
Ni  0.781  0.250  0.625

The following is a DFT calculation (GGA-PBE) of ZrAg2P after structural relaxation.

Output
* DFT formation energy: -128 meV per atom
* symmetry: P2/m

Cell lengths 3.101, 4.635, 5.250 Å; angles 90.00, 105.14, 90.00 degrees
Fractional positions:
Zr  0.000  0.000  0.000
Ag  0.374  0.500  0.734
Ag  0.626  0.500  0.266
P  0.500  0.000  0.500